No. 1
The following is a DFT calculation (PBE-GGA) of a geometry-optimized Ac2NpTl3S6 structure.

Results
Magnetic moment (μB/f.u.): 4.00
Uncorrected formation energy (eV per atom): -1.319
Total energy (eV/atom): -5.737
Volume (A^3/atom): 30.1

Lattice parameters (Å, degrees): 7.4926 7.4926 7.8443 99.15 99.15 119.95
With the nearest neighbours (Å) after each atom.
Atoms (fractional coordinates):
Ac (0.3331, 0.6669, 0.0000)  6 S 2.98-3.00
Ac (0.6669, 0.3331, 0.0000)  6 S 2.98-3.00
Np (0.0000, 0.0000, 0.0000)  6 S 2.81-2.83
Tl (0.1651, 0.8349, 0.5000)  6 S 3.25-3.44
Tl (0.8349, 0.1651, 0.5000)  6 S 3.25-3.44
Tl (0.5000, 0.5000, 0.5000)  6 S 3.28-3.41
S (0.9315, 0.6164, 0.7954)  1 Np 2.81, 2 Ac 2.98
S (0.7538, 0.7538, 0.2088)  1 Np 2.83, 2 Ac 3.00
S (0.0685, 0.3836, 0.2046)  1 Np 2.81, 2 Ac 2.98
S (0.6164, 0.9315, 0.7954)  1 Np 2.81, 2 Ac 2.98
S (0.2462, 0.2462, 0.7912)  1 Np 2.83, 2 Ac 3.00
S (0.3836, 0.0685, 0.2046)  1 Np 2.81, 2 Ac 2.98

***

No. 2
The following is a DFT calculation (PBE-GGA) of a geometry-optimized ZnRe2Ir structure.

Results
Magnetic moment (μB/f.u.): 0.00
Total energy (eV/atom): -8.288
Volume (A^3/atom): 14.7
E_form (eV per atom): 0.47

Lattice parameters (Å, degrees): 4.3672 4.3672 4.3672 60.00 60.00 60.00
With the nearest neighbours (Å) after each atom.
Atoms (fractional coordinates):
Re (0.2500, 0.2500, 0.2500)  4 Ir 2.67, 4 Zn 2.67
Re (0.7500, 0.7500, 0.7500)  4 Ir 2.67, 4 Zn 2.67
Zn (0.0000, 0.0000, 0.0000)  8 Re 2.67
Ir (0.5000, 0.5000, 0.5000)  8 Re 2.67